No. 1
Below is BaTl2RhPb after structural relaxation, with properties calculated at the PBE level.

## Properties
- size of the total moment (μB per atom) = 0.000
- density (g/cm³) = 9.161
- final energy (eV/f.u.) = -18.6

a b c (Å): 5.3467 5.3467 5.4289
angles (deg): 90.00 90.00 90.00
Element x y z (fractional)
Ba 0.0000 0.0000 0.0000
Tl 0.0000 0.5000 0.5000
Tl 0.5000 0.0000 0.5000
Rh 0.5000 0.5000 0.5000
Pb 0.5000 0.5000 0.0000

***

No. 2
Below is BaTl2RhPb after structural relaxation, with properties calculated at the PBE level.

## Properties
- size of the total moment (μB per atom) = 0.000
- density (g/cm³) = 8.607
- final energy (eV/f.u.) = -18.1

a b c (Å): 5.3370 5.3370 5.7992
angles (deg): 90.00 90.00 90.00
Element x y z (fractional)
Ba 0.0000 0.0000 0.0000
Tl 0.0000 0.5000 0.5000
Tl 0.5000 0.0000 0.5000
Rh 0.0000 0.0000 0.5000
Pb 0.5000 0.5000 0.0000

***

No. 3
Below is BaRhPbW2 after structural relaxation, with properties calculated at the PBE level.

## Properties
- size of the total moment (μB per atom) = 0.623
- density (g/cm³) = 10.242
- final energy (eV/f.u.) = -32.0

a b c (Å): 5.0110 5.0110 5.2630
angles (deg): 90.00 90.00 90.00
Element x y z (fractional)
Ba 0.0000 0.0000 0.0000
Rh 0.5000 0.5000 0.5000
Pb 0.5000 0.5000 0.0000
W 0.0000 0.5000 0.5000
W 0.5000 0.0000 0.5000

***

No. 4
Below is BaRhPb2W after structural relaxation, with properties calculated at the PBE level.

## Properties
- size of the total moment (μB per atom) = 0.000
- density (g/cm³) = 9.537
- final energy (eV/f.u.) = -27.6

a b c (Å): 5.4479 5.4479 4.9190
angles (deg): 90.00 90.00 90.00
Element x y z (fractional)
Ba 0.0000 0.0000 0.0000
Rh 0.5000 0.5000 0.0000
Pb 0.0000 0.5000 0.5000
Pb 0.5000 0.0000 0.5000
W 0.5000 0.5000 0.5000

***

No. 5
Below is BaZnRhPb2 after structural relaxation, with properties calculated at the PBE level.

## Properties
- size of the total moment (μB per atom) = 0.000
- density (g/cm³) = 8.306
- final energy (eV/f.u.) = -19.0

a b c (Å): 5.3551 5.3551 5.0195
angles (deg): 90.00 90.00 90.00
Element x y z (fractional)
Ba 0.0000 0.0000 0.0000
Zn 0.5000 0.5000 0.0000
Rh 0.5000 0.5000 0.5000
Pb 0.0000 0.5000 0.5000
Pb 0.5000 0.0000 0.5000

***

No. 6
Below is Ba3RuPb after structural relaxation, with properties calculated at the PBE level.

## Properties
- size of the total moment (μB per atom) = 0.000
- density (g/cm³) = 6.034
- final energy (eV/f.u.) = -18.5

a b c (Å): 5.8307 5.8307 5.8307
angles (deg): 90.00 90.00 90.00
Element x y z (fractional)
Ba 0.0000 0.0000 0.5000
Ba 0.0000 0.5000 0.0000
Ba 0.5000 0.0000 0.0000
Ru 0.0000 0.0000 0.0000
Pb 0.5000 0.5000 0.5000

***

No. 7
Below is BaRu2Pb2 after structural relaxation, with properties calculated at the PBE level.

## Properties
- size of the total moment (μB per atom) = 0.000
- density (g/cm³) = 9.859
- final energy (eV/f.u.) = -27.2

a b c (Å): 6.3363 6.3363 6.3363
angles (deg): 134.60 134.60 66.15
Element x y z (fractional)
Ba 0.0000 0.0000 0.0000
Ru 0.3892 0.3892 0.0000
Ru 0.6108 0.6108 0.0000
Pb 0.2500 0.7500 0.5000
Pb 0.7500 0.2500 0.5000

***

No. 8
Below is BaRu4Pb after structural relaxation, with properties calculated at the PBE level.

## Properties
- size of the total moment (μB per atom) = 0.699
- density (g/cm³) = 10.502
- final energy (eV/f.u.) = -39.0

a b c (Å): 5.5117 5.5117 5.5117
angles (deg): 60.00 60.00 60.00
Element x y z (fractional)
Ba 0.0000 0.0000 0.0000
Ru 0.3769 0.3769 0.3769
Ru 0.3769 0.3769 0.8693
Ru 0.3769 0.8693 0.3769
Ru 0.8693 0.3769 0.3769
Pb 0.7500 0.7500 0.7500

***

The records above yield DFT formation energy values of -16.1 -7.6 133.6 39.2 -19.7 5.2 13.4 59.3 kJ per mole of atoms, respectively.